No. 1
Density functional theory data (PBE) for crystalline Ti4Al3 at its relaxed geometry.

Output
The calculation puts the energy relative to the elements at -3.68 kcal/mol of atoms. The total energy is -6.27 eV per atom. As for the space group: No. 12.

abc: 6.9572 6.9572 6.8220
angles: 115.96 115.96 23.71
Last column: nearest neighbours and their distance in Å.
Element x y z (fractional)
Ti1 0.0762 0.0762 0.1935  1 Ti 2.53, 3 Al 2.72-2.80
Ti2 0.3613 0.3613 0.0977  5 Al 2.77-2.92, 8 Ti 2.86-3.06
Ti3 0.6387 0.6387 0.9023  5 Al 2.77-2.92, 8 Ti 2.86-3.06
Ti4 0.9238 0.9238 0.8065  1 Ti 2.53, 3 Al 2.72-2.80
Al1 0.0000 0.0000 0.5000  6 Ti 2.72-2.92, 4 Al 2.78-2.86
Al2 0.2265 0.2265 0.6511  6 Ti 2.77-2.87, 5 Al 2.78-2.86
Al3 0.7735 0.7735 0.3489  6 Ti 2.77-2.87, 5 Al 2.78-2.86

---

No. 2
Density functional theory data (PBE) for crystalline Ti3Al5 at its relaxed geometry.

Output
The calculation puts the energy relative to the elements at -9.48 kcal/mol of atoms. The total energy is -5.71 eV per atom. As for the space group: No. 47.

abc: 3.9269 4.0236 8.1059
angles: 90.00 90.00 90.00
Last column: nearest neighbours and their distance in Å.
Element x y z (fractional)
Ti1 0.0000 0.0000 0.0000  8 Al 2.81, 4 Ti 2.91
Ti2 0.5000 0.0000 0.2646  10 Al 2.74-2.94, 2 Ti 2.91
Ti3 0.5000 0.0000 0.7354  10 Al 2.74-2.94, 2 Ti 2.91
Al1 0.0000 0.0000 0.5000  4 Ti 2.74, 8 Al 2.81-2.90
Al2 0.0000 0.5000 0.2418  6 Al 2.77-2.90, 6 Ti 2.81-2.82
Al3 0.0000 0.5000 0.7582  6 Al 2.77-2.90, 6 Ti 2.81-2.82
Al4 0.5000 0.5000 0.0000  4 Al 2.77, 8 Ti 2.81-2.94
Al5 0.5000 0.5000 0.5000  4 Ti 2.77, 8 Al 2.81-2.87

---

No. 3
Density functional theory data (PBE) for crystalline Ti5Al at its relaxed geometry.

Output
The calculation puts the energy relative to the elements at -3.56 kcal/mol of atoms. The total energy is -7.36 eV per atom. As for the space group: No. 65.

abc: 6.4507 6.4507 4.0558
angles: 90.00 90.00 143.22
Last column: nearest neighbours and their distance in Å.
Element x y z (fractional)
Ti1 0.0000 0.0000 0.0000  8 Ti 2.86-2.88, 4 Al 2.87
Ti2 0.1653 0.8347 0.5000  10 Ti 2.86-2.91, 2 Al 2.87
Ti3 0.3339 0.6661 0.0000  2 Al 2.87, 10 Ti 2.87-2.89
Ti4 0.6661 0.3339 0.0000  2 Al 2.87, 10 Ti 2.87-2.89
Ti5 0.8347 0.1653 0.5000  10 Ti 2.86-2.91, 2 Al 2.87
Al1 0.5000 0.5000 0.5000  12 Ti 2.87

---

No. 4
Density functional theory data (PBE) for crystalline Ti7Al at its relaxed geometry.

Output
The calculation puts the energy relative to the elements at -1.54 kcal/mol of atoms. The total energy is -7.44 eV per atom. As for the space group: No. 225.

abc: 5.7713 5.7713 5.7713
angles: 60.00 60.00 60.00
Last column: nearest neighbours and their distance in Å.
Element x y z (fractional)
Ti1 0.0000 0.0000 0.0000  12 Ti 2.89
Ti2 0.0000 0.0000 0.5000  2 Al 2.89, 10 Ti 2.89
Ti3 0.0000 0.5000 0.0000  2 Al 2.89, 10 Ti 2.89
Ti4 0.0000 0.5000 0.5000  2 Al 2.89, 10 Ti 2.89
Ti5 0.5000 0.0000 0.0000  2 Al 2.89, 10 Ti 2.89
Ti6 0.5000 0.0000 0.5000  2 Al 2.89, 10 Ti 2.89
Ti7 0.5000 0.5000 0.0000  2 Al 2.89, 10 Ti 2.89
Al1 0.5000 0.5000 0.5000  12 Ti 2.89

---

No. 5
Density functional theory data (PBE) for crystalline TiAl2 at its relaxed geometry.

Output
The calculation puts the energy relative to the elements at -9.88 kcal/mol of atoms. The total energy is -5.56 eV per atom. As for the space group: No. 65.

abc: 6.3838 6.3838 4.0076
angles: 90.00 90.00 144.22
Last column: nearest neighbours and their distance in Å.
Element x y z (fractional)
Ti1 0.1563 0.8437 0.0000  10 Al 2.73-2.89, 2 Ti 3.00
Ti2 0.8437 0.1563 0.0000  10 Al 2.73-2.89, 2 Ti 3.00
Al1 0.0000 0.0000 0.5000  4 Ti 2.76, 8 Al 2.80-2.87
Al2 0.3272 0.6728 0.5000  6 Al 2.71-2.90, 6 Ti 2.81-2.89
Al3 0.5000 0.5000 0.0000  4 Ti 2.73, 8 Al 2.80-2.90
Al4 0.6728 0.3272 0.5000  6 Al 2.71-2.90, 6 Ti 2.81-2.89

---

No. 6
Density functional theory data (PBE) for crystalline Ti3Al2 at its relaxed geometry.

Output
The calculation puts the energy relative to the elements at -1.44 kcal/mol of atoms. The total energy is -6.30 eV per atom. As for the space group: No. 62.

abc: 11.2309 3.0118 10.3807
angles: 90.00 90.00 90.00
Last column: nearest neighbours and their distance in Å.
Element x y z (fractional)
Ti1 0.0165 0.2500 0.1087  5 Al 2.72-2.84, 6 Ti 2.74-3.01
Ti2 0.0939 0.7500 0.5741  5 Al 2.68-2.75, 2 Ti 2.80
Ti3 0.1782 0.2500 0.7830  5 Al 2.75-3.06, 6 Ti 2.80-3.01
Ti4 0.3218 0.7500 0.2830  5 Al 2.75-3.06, 6 Ti 2.80-3.01
Ti5 0.4061 0.2500 0.0741  5 Al 2.68-2.75, 2 Ti 2.80
Ti6 0.4835 0.7500 0.6087  5 Al 2.72-2.84, 6 Ti 2.74-3.01
Ti7 0.5165 0.2500 0.3913  5 Al 2.72-2.84, 6 Ti 2.74-3.01
Ti8 0.5939 0.7500 0.9259  5 Al 2.68-2.75, 2 Ti 2.80
Ti9 0.6782 0.2500 0.7170  5 Al 2.75-3.06, 6 Ti 2.80-3.01
Ti10 0.8218 0.7500 0.2170  5 Al 2.75-3.06, 6 Ti 2.80-3.01
Ti11 0.9061 0.2500 0.4259  5 Al 2.68-2.75, 2 Ti 2.80
Ti12 0.9835 0.7500 0.8913  5 Al 2.72-2.84, 6 Ti 2.74-3.01
Al1 0.0786 0.7500 0.3162  6 Ti 2.68-2.75
Al2 0.2087 0.7500 0.0163  8 Ti 2.75-3.05, 2 Al 3.01
Al3 0.2913 0.2500 0.5163  8 Ti 2.75-3.05, 2 Al 3.01
Al4 0.4214 0.2500 0.8162  6 Ti 2.68-2.75
Al5 0.5786 0.7500 0.1838  6 Ti 2.68-2.75
Al6 0.7087 0.7500 0.4837  8 Ti 2.75-3.05, 2 Al 3.01
Al7 0.7913 0.2500 0.9837  8 Ti 2.75-3.05, 2 Al 3.01
Al8 0.9214 0.2500 0.6838  6 Ti 2.68-2.75

---

No. 7
Density functional theory data (PBE) for crystalline TiAl2 at its relaxed geometry.

Output
The calculation puts the energy relative to the elements at -5.62 kcal/mol of atoms. The total energy is -5.37 eV per atom. As for the space group: No. 69.

abc: 5.8769 5.8426 2.9804
angles: 75.91 74.63 29.46
Last column: nearest neighbours and their distance in Å.
Element x y z (fractional)
Ti1 0.0000 0.0000 0.0000  8 Al 2.74-2.81, 4 Ti 2.98
Al1 0.3344 0.3344 0.6656  4 Ti 2.74-2.81, 8 Al 2.77-2.98
Al2 0.6656 0.6656 0.3344  4 Ti 2.74-2.81, 8 Al 2.77-2.98

---

No. 8
Density functional theory data (PBE) for crystalline Ti5Al3 at its relaxed geometry.

Output
The calculation puts the energy relative to the elements at -7.06 kcal/mol of atoms. The total energy is -6.64 eV per atom. As for the space group: No. 65.

abc: 5.7180 5.7180 4.0200
angles: 90.00 90.00 92.83
Last column: nearest neighbours and their distance in Å.
Element x y z (fractional)
Ti1 0.0000 0.0000 0.0000  8 Ti 2.80-2.86, 4 Al 2.85
Ti2 0.0000 0.5000 0.0000  6 Ti 2.82-2.86, 6 Al 2.86-2.89
Ti3 0.2348 0.7652 0.5000  6 Ti 2.80-2.82, 6 Al 2.81-2.98
Ti4 0.5000 0.0000 0.0000  6 Ti 2.82-2.86, 6 Al 2.86-2.89
Ti5 0.7652 0.2348 0.5000  6 Ti 2.80-2.82, 6 Al 2.81-2.98
Al1 0.2567 0.2567 0.5000  2 Al 2.78, 10 Ti 2.81-2.92
Al2 0.5000 0.5000 0.0000  4 Al 2.78, 8 Ti 2.86-2.98
Al3 0.7433 0.7433 0.5000  2 Al 2.78, 10 Ti 2.81-2.92

---

No. 9
Density functional theory data (PBE) for crystalline Ti3Al7 at its relaxed geometry.

Output
The calculation puts the energy relative to the elements at -9.48 kcal/mol of atoms. The total energy is -5.40 eV per atom. As for the space group: No. 12.

abc: 7.5413 7.5413 5.6449
angles: 99.32 99.32 30.13
Last column: nearest neighbours and their distance in Å.
Element x y z (fractional)
Ti1 0.0000 0.0000 0.0000  12 Al 2.78-2.95
Ti2 0.1901 0.1901 0.5911  10 Al 2.73-2.94, 2 Ti 2.92
Ti3 0.8099 0.8099 0.4089  10 Al 2.73-2.94, 2 Ti 2.92
Al1 0.0000 0.0000 0.5000  4 Ti 2.73-2.82, 8 Al 2.81-2.86
Al2 0.2051 0.2051 0.1031  7 Al 2.72-2.89, 5 Ti 2.80-2.95
Al3 0.3946 0.3946 0.7064  5 Ti 2.74-2.94, 7 Al 2.76-2.92
Al4 0.4022 0.4022 0.2027  4 Ti 2.74-2.78, 8 Al 2.79-2.92
Al5 0.5978 0.5978 0.7973  4 Ti 2.74-2.78, 8 Al 2.79-2.92
Al6 0.6054 0.6054 0.2936  5 Ti 2.74-2.94, 7 Al 2.76-2.92
Al7 0.7949 0.7949 0.8969  7 Al 2.72-2.89, 5 Ti 2.80-2.95

---

No. 10
Density functional theory data (PBE) for crystalline Ti8Al3 at its relaxed geometry.

Output
The calculation puts the energy relative to the elements at -5.85 kcal/mol of atoms. The total energy is -7.02 eV per atom. As for the space group: No. 12.

abc: 5.0704 5.0704 10.2602
angles: 102.64 102.64 45.56
Last column: nearest neighbours and their distance in Å.
Element x y z (fractional)
Ti1 0.0429 0.0429 0.3171  4 Al 2.81-2.82, 8 Ti 2.88-2.92
Ti2 0.1378 0.1378 0.9537  5 Al 2.81-2.89, 7 Ti 2.83-2.95
Ti3 0.2282 0.2282 0.5893  8 Ti 2.78-2.92, 4 Al 2.88-2.93
Ti4 0.3140 0.3140 0.2293  8 Ti 2.80-2.92, 4 Al 2.86-2.97
Ti5 0.6860 0.6860 0.7707  8 Ti 2.80-2.92, 4 Al 2.86-2.97
Ti6 0.7718 0.7718 0.4107  8 Ti 2.78-2.92, 4 Al 2.88-2.93
Ti7 0.8622 0.8622 0.0463  5 Al 2.81-2.89, 7 Ti 2.83-2.95
Ti8 0.9571 0.9571 0.6829  4 Al 2.81-2.82, 8 Ti 2.88-2.92
Al1 0.4092 0.4092 0.8648  11 Ti 2.81-2.97, 1 Al 2.89
Al2 0.5000 0.5000 0.5000  12 Ti 2.81-2.91
Al3 0.5908 0.5908 0.1352  11 Ti 2.81-2.97, 1 Al 2.89

---

No. 11
Density functional theory data (PBE) for crystalline Ti5Al at its relaxed geometry.

Output
The calculation puts the energy relative to the elements at -3.50 kcal/mol of atoms. The total energy is -7.35 eV per atom. As for the space group: No. 189.

abc: 5.0264 5.0264 4.6409
angles: 90.00 90.00 120.00
Last column: nearest neighbours and their distance in Å.
Element x y z (fractional)
Ti1 0.0000 0.3219 0.0000  10 Ti 2.80-2.95, 2 Al 2.83
Ti2 0.3219 0.0000 0.0000  10 Ti 2.80-2.95, 2 Al 2.83
Ti3 0.3333 0.6667 0.5000  9 Ti 2.88-2.90, 3 Al 2.90
Ti4 0.6667 0.3333 0.5000  9 Ti 2.88-2.90, 3 Al 2.90
Ti5 0.6781 0.6781 0.0000  10 Ti 2.80-2.95, 2 Al 2.83
Al1 0.0000 0.0000 0.5000  12 Ti 2.83-2.90

---

No. 12
Density functional theory data (PBE) for crystalline Ti3Al5 at its relaxed geometry.

Output
The calculation puts the energy relative to the elements at -9.17 kcal/mol of atoms. The total energy is -5.70 eV per atom. As for the space group: No. 123.

abc: 3.9140 3.9140 8.3553
angles: 90.00 90.00 90.00
Last column: nearest neighbours and their distance in Å.
Element x y z (fractional)
Ti1 0.0000 0.0000 0.0000  4 Ti 2.77, 8 Al 2.85
Ti2 0.0000 0.0000 0.5000  12 Al 2.77-2.87
Ti3 0.5000 0.5000 0.0000  4 Ti 2.77, 8 Al 2.85
Al1 0.0000 0.5000 0.2480  6 Al 2.77-2.87, 6 Ti 2.85-2.87
Al2 0.0000 0.5000 0.7520  6 Al 2.77-2.87, 6 Ti 2.85-2.87
Al3 0.5000 0.0000 0.2480  6 Al 2.77-2.87, 6 Ti 2.85-2.87
Al4 0.5000 0.0000 0.7520  6 Al 2.77-2.87, 6 Ti 2.85-2.87
Al5 0.5000 0.5000 0.5000  4 Ti 2.77, 8 Al 2.87

---

> What is the energy relative to the elements in the fifth record?

-9.88 kcal/mol of atoms

---

> The lowest energy relative to the elements belongs to which entry?

number 5

---

> The lowest energy relative to the elements belongs to which entry?

number 5